[1]
# Cu2ReRu

A relaxed Cu2ReRu crystal (PBE, Alexandria via LeMat-Bulk).

The structure in POSCAR format:
```
Cu2ReRu
1.0
2.788 0.000 0.000
0.000 2.788 0.000
0.000 0.000 6.931
Cu Re Ru
2 1 1
Cartesian
0.000 0.000 0.000
1.394 1.394 1.544
0.000 0.000 3.414
1.394 1.394 5.097
```

## Properties
The size of the total moment comes out at 0.00 μB/atom. The formation energy comes out at 0.174 eV/atom. The calculation puts the volume at 54 Å³/f.u.

=====

[2]
# Ba2BeTc

A relaxed Ba2BeTc crystal (PBE, Alexandria via LeMat-Bulk).

The structure in POSCAR format:
```
Ba2BeTc
1.0
3.462 0.000 0.000
0.000 3.462 0.000
0.000 0.000 9.340
Ba Be Tc
2 1 1
Cartesian
0.000 0.000 0.000
1.731 1.731 4.114
0.000 0.000 6.470
1.731 1.731 6.913
```

## Properties
The size of the total moment comes out at 0.01 μB/atom. The formation energy comes out at 0.486 eV/atom. The calculation puts the volume at 112 Å³/f.u.

=====

Number 2 is which compound?
Ba2BeTc

=====

What is the size of the total moment in the first record?
0.00 μB/atom

=====

What is the volume in the second record?
112 Å³/f.u.

=====

Copy entry 1 word for word.
# Cu2ReRu

A relaxed Cu2ReRu crystal (PBE, Alexandria via LeMat-Bulk).

The structure in POSCAR format:
```
Cu2ReRu
1.0
2.788 0.000 0.000
0.000 2.788 0.000
0.000 0.000 6.931
Cu Re Ru
2 1 1
Cartesian
0.000 0.000 0.000
1.394 1.394 1.544
0.000 0.000 3.414
1.394 1.394 5.097
```

## Properties
The size of the total moment comes out at 0.00 μB/atom. The formation energy comes out at 0.174 eV/atom. The calculation puts the volume at 54 Å³/f.u.